Er4SiGeC (PBE, relaxed); size of the total moment = 0.00 μB/f.u.; E = -41.8 eV/cell
1.0
-3.707 2.751 0.387
-0.412 0.093 -4.613
-2.386 -7.451 2.389
Er Si Ge C
4 1 1 1
Direct
0.001 0.501 0.002
0.501 0.001 0.002
0.832 0.832 0.664
0.167 0.167 0.335
0.636 0.636 0.272
0.363 0.363 0.726
0.000 0.000 0.000


Sm3ErGe2C (PBE, relaxed); size of the total moment = 0.00 μB/f.u.; formation enthalpy at 0 K = -605.1 meV/atom
1.0
4.696 0.000 0.000
0.000 4.807 0.000
-2.348 -2.404 7.788
Sm Er Ge C
3 1 2 1
Direct
0.000 0.500 0.000
0.168 0.168 0.337
0.832 0.832 0.663
0.500 0.000 0.000
0.635 0.635 0.271
0.365 0.365 0.729
0.000 0.000 0.000


Er4SnGeC (PBE, relaxed); size of the total moment = 0.00 μB/f.u.; formation enthalpy at 0 K = -661.1 meV/atom
1.0
-0.058 -4.225 5.120
-4.749 -3.552 -2.985
5.419 -2.173 -6.036
Er Sn Ge C
8 2 2 2
Direct
0.916 0.250 0.833
0.409 0.750 0.818
0.084 0.750 0.167
0.591 0.250 0.182
0.500 0.500 0.500
0.000 0.000 0.500
0.500 0.000 0.500
0.000 0.500 0.500
0.608 0.750 0.216
0.392 0.250 0.784
0.114 0.250 0.228
0.886 0.750 0.772
0.248 0.750 0.496
0.752 0.250 0.504